The following is a PBE calculation of an optimized crystal structure of TmZr2Zn9, from the Alexandria database.

Cell: 5.2864 5.2864 8.9062 Å, 72.74 72.74 60.00°
Closest atoms and distances in Å follow each position.
Positions (direct):
Zn 0.4113 0.4113 0.2548  7 Zn 2.58-2.70
Zn 0.5887 0.5887 0.7452  7 Zn 2.58-2.70
Zn 0.3353 0.3353 0.9941  6 Zn 2.60-2.64
Zn 0.6647 0.6647 0.0059  6 Zn 2.60-2.64
Zn 0.5887 0.0774 0.7452  7 Zn 2.58-2.70
Zn 0.9226 0.4113 0.2548  7 Zn 2.58-2.70
Zn 0.5000 0.5000 0.5000  6 Zn 2.58
Tm 0.0000 0.0000 0.0000  18 Zn 3.05-3.40
Zn 0.4113 0.9226 0.2548  7 Zn 2.58-2.70
Zr 0.1435 0.1435 0.5695  12 Zn 3.02-3.11, 3 Zr 3.27
Zr 0.8565 0.8565 0.4305  12 Zn 3.02-3.11, 3 Zr 3.27
Zn 0.0774 0.5887 0.7452  7 Zn 2.58-2.70

Properties
The calculation puts the volume at 16.874 Å³ per atom. As for the crystal system: trigonal. The value obtained for the total energy is -3.04 eV per atom.

The following is a PBE calculation of an optimized crystal structure of TmZr4Zn5, from the Alexandria database.

Cell: 3.3775 3.3775 16.8423 Å, 90.00 90.00 90.00°
Closest atoms and distances in Å follow each position.
Positions (direct):
Zn 0.5000 0.5000 0.1091  4 Zr 2.89, 4 Tm 3.01
Zn 0.5000 0.5000 0.6959  8 Zr 2.90-2.91
Tm 0.0000 0.0000 0.0000  8 Zn 3.01
Zn 0.5000 0.5000 0.8909  4 Zr 2.89, 4 Tm 3.01
Zr 0.0000 0.0000 0.5982  8 Zn 2.90
Zr 0.0000 0.0000 0.2057  8 Zn 2.89-2.91
Zr 0.0000 0.0000 0.4018  8 Zn 2.90
Zr 0.0000 0.0000 0.7943  8 Zn 2.89-2.91
Zn 0.5000 0.5000 0.3041  8 Zr 2.90-2.91
Zn 0.5000 0.5000 0.5000  8 Zr 2.90

Properties
The calculation puts the volume at 19.213 Å³ per atom. As for the crystal system: tetragonal. The value obtained for the total energy is -4.78 eV per atom.

The following is a PBE calculation of an optimized crystal structure of TmZr2Zn4, from the Alexandria database.

Cell: 4.3373 4.3373 8.4456 Å, 104.88 104.88 90.00°
Closest atoms and distances in Å follow each position.
Positions (direct):
Zr 0.7461 0.7461 0.4922  8 Zn 2.87-2.95, 4 Zr 3.07
Zn 0.3732 0.8732 0.7464  4 Zr 2.87-2.95, 2 Tm 2.95, 4 Zn 3.07
Zr 0.2539 0.2539 0.5078  8 Zn 2.87-2.95, 4 Zr 3.07
Zn 0.8732 0.3732 0.7464  4 Zr 2.87-2.95, 2 Tm 2.95, 4 Zn 3.07
Zn 0.6268 0.1268 0.2536  4 Zr 2.87-2.95, 2 Tm 2.95, 4 Zn 3.07
Zn 0.1268 0.6268 0.2536  4 Zr 2.87-2.95, 2 Tm 2.95, 4 Zn 3.07
Tm 0.0000 0.0000 0.0000  8 Zn 2.95

Properties
The calculation puts the volume at 21.147 Å³ per atom. As for the crystal system: tetragonal. The value obtained for the total energy is -3.86 eV per atom.

The following is a PBE calculation of an optimized crystal structure of Tm4ZrZn, from the Alexandria database.

Cell: 3.4409 3.4409 13.3107 Å, 90.00 90.00 90.00°
Closest atoms and distances in Å follow each position.
Positions (direct):
Tm 0.5000 0.5000 0.8325  4 Zr 3.30, 8 Tm 3.44-3.59
Zr 0.0000 0.0000 0.0000  8 Tm 3.30, 4 Zr 3.44
Tm 0.0000 0.0000 0.6338  4 Zn 3.01
Tm 0.5000 0.5000 0.1675  4 Zr 3.30, 8 Tm 3.44-3.59
Tm 0.0000 0.0000 0.3662  4 Zn 3.01
Zn 0.5000 0.5000 0.5000  8 Tm 3.01

Properties
The calculation puts the volume at 26.266 Å³ per atom. As for the crystal system: tetragonal. The value obtained for the total energy is -4.69 eV per atom.